1.
Tl2CuTeO4 | PBE | optimized geometry

Cell and atoms, written as CIF:
```
data_Tl2CuTeO4
_chemical_formula_sum 'Tl2 Cu1 Te1 O4'
_cell_length_a 5.068
_cell_length_b 5.763
_cell_length_c 6.286
_cell_angle_alpha 101.35
_cell_angle_beta 112.94
_cell_angle_gamma 107.68
_symmetry_space_group_name_H-M 'P 1'
_symmetry_Int_Tables_number 1
loop_
_symmetry_equiv_pos_as_xyz
'x,y,z'
loop_
_atom_site_label
_atom_site_fract_x
_atom_site_fract_y
_atom_site_fract_z
Tl1 0.000 0.000 0.000
Tl2 0.461 0.702 0.285
Cu1 0.659 0.345 0.922
Te1 0.023 0.443 0.549
O1 0.004 0.771 0.623
O2 0.440 0.575 0.870
O3 0.621 0.316 0.200
O4 0.755 0.258 0.664
```

=====

2.
KHg2AuSe | PBE | optimized geometry

Cell and atoms, written as CIF:
```
data_KHg2AuSe
_chemical_formula_sum 'K1 Hg2 Au1 Se1'
_cell_length_a 5.413
_cell_length_b 5.413
_cell_length_c 5.487
_cell_angle_alpha 90.00
_cell_angle_beta 90.00
_cell_angle_gamma 90.00
_symmetry_space_group_name_H-M 'P 4/m m m'
_symmetry_Int_Tables_number 123
_symmetry_space_group_name_Hall '-P 4 2'
loop_
_atom_site_label
_atom_site_fract_x
_atom_site_fract_y
_atom_site_fract_z
K1 0.000 0.000 0.000
Hg1 0.000 0.500 0.500
Au1 0.500 0.500 0.500
Se1 0.500 0.500 0.000
```

=====

no.,final energy (eV/cell)
1,-37.5
2,-9.7